# LiTiTe2 | the Alexandria database | GGA-PBEsol | relaxed
data_LiTiTe2
_symmetry_space_group_name_H-M 'R -3 m'
_symmetry_Int_Tables_number 166
_symmetry_space_group_name_Hall '-R 3 2"'
_cell_length_a 3.3911
_cell_length_b 3.3911
_cell_length_c 28.3244
_cell_angle_alpha 90.00
_cell_angle_beta 90.00
_cell_angle_gamma 120.00
loop_
_atom_site_label
_atom_site_type_symbol
_atom_site_fract_x
_atom_site_fract_y
_atom_site_fract_z
Li1 Li 0.0000 0.0000 0.0000
Ti1 Ti 0.0000 0.0000 0.5000
Te1 Te 0.0000 0.0000 0.4052
# E_form (uncorrected) (eV/f.u.): 0.0
# Raw total energy (eV/cell): -52.1